# Ta2TiRe

An optimized crystal structure of Ta2TiRe (PBE-GGA, Alexandria).

Computed properties:
Calculated total energy   -89.954 eV/cell
Energy of formation   -0.2321 eV per atom

```
data_Ta2TiRe
_chemical_formula_sum 'Ta4 Ti2 Re2'
_cell_length_a 3.220
_cell_length_b 4.549
_cell_length_c 9.201
_cell_angle_alpha 90.00
_cell_angle_beta 90.00
_cell_angle_gamma 90.00
_symmetry_space_group_name_H-M 'I m m m'
_symmetry_Int_Tables_number 71
_symmetry_space_group_name_Hall '-I 2 2'
loop_
_atom_site_label
_atom_site_fract_x
_atom_site_fract_y
_atom_site_fract_z
Ta1 0.000 0.000 0.239
Ti1 0.000 0.500 0.000
Re1 0.000 0.500 0.500
```

=====

# TcCS2

An optimized crystal structure of TcCS2 (PBE-GGA, Alexandria).

Computed properties:
Calculated total energy   -75.920 eV/cell

```
data_TcCS2
_chemical_formula_sum 'Tc3 C3 S6'
_cell_length_a 3.3397
_cell_length_b 3.3397
_cell_length_c 18.3952
_cell_angle_alpha 90.00
_cell_angle_beta 90.00
_cell_angle_gamma 120.00
_symmetry_space_group_name_H-M 'R -3 m'
_symmetry_Int_Tables_number 166
_symmetry_space_group_name_Hall '-R 3 2"'
loop_
_atom_site_label
_atom_site_fract_x
_atom_site_fract_y
_atom_site_fract_z
Tc1 0.0000 0.0000 0.0000
C1 0.0000 0.0000 0.5000
S1 0.0000 0.0000 0.4135
```

=====

# HgAsS2N

An optimized crystal structure of HgAsS2N (PBE-GGA, Alexandria).

Computed properties:
Calculated total energy   -13.946 eV/cell
Energy above the lowest structure with this stoichiometry   0.680 eV per atom

```
data_HgAsS2N
_chemical_formula_sum 'Hg1 As1 S2 N1'
_cell_length_a 5.106
_cell_length_b 5.106
_cell_length_c 4.093
_cell_angle_alpha 90.00
_cell_angle_beta 90.00
_cell_angle_gamma 90.00
_symmetry_space_group_name_H-M 'P 4/m m m'
_symmetry_Int_Tables_number 123
_symmetry_space_group_name_Hall '-P 4 2'
loop_
_atom_site_label
_atom_site_fract_x
_atom_site_fract_y
_atom_site_fract_z
Hg1 0.000 0.000 0.000
As1 0.500 0.500 0.500
S1 0.000 0.500 0.000
N1 0.000 0.000 0.500
```

=====

# Y2BeZnCu6

An optimized crystal structure of Y2BeZnCu6 (PBE-GGA, Alexandria).

Computed properties:
Calculated total energy   -86.873 eV/cell
Energy of formation   -0.0931 eV per atom

```
data_Y2BeZnCu6
_chemical_formula_sum 'Y4 Be2 Zn2 Cu12'
_cell_length_a 10.228
_cell_length_b 5.897
_cell_length_c 6.442
_cell_angle_alpha 90.00
_cell_angle_beta 122.16
_cell_angle_gamma 90.00
_symmetry_space_group_name_H-M 'C 1 2/m 1'
_symmetry_Int_Tables_number 12
_symmetry_space_group_name_Hall '-C 2y'
loop_
_atom_site_label
_atom_site_fract_x
_atom_site_fract_y
_atom_site_fract_z
Y1 0.218 0.000 0.155
Be1 0.000 0.000 0.500
Zn1 0.000 0.500 0.000
Cu1 0.045 0.286 0.349
Cu2 0.241 0.000 0.648
```

=====

# TePbIN2

An optimized crystal structure of TePbIN2 (PBE-GGA, Alexandria).

Computed properties:
Calculated total energy   -16.816 eV/cell
Energy above the lowest structure with this stoichiometry   0.279 eV per atom

```
data_TePbIN2
_chemical_formula_sum 'Te1 Pb1 I1 N2'
_cell_length_a 4.392
_cell_length_b 4.392
_cell_length_c 6.070
_cell_angle_alpha 90.00
_cell_angle_beta 90.00
_cell_angle_gamma 90.00
_symmetry_space_group_name_H-M 'P 4/m m m'
_symmetry_Int_Tables_number 123
_symmetry_space_group_name_Hall '-P 4 2'
loop_
_atom_site_label
_atom_site_fract_x
_atom_site_fract_y
_atom_site_fract_z
Te1 0.000 0.000 0.000
Pb1 0.500 0.500 0.000
I1 0.000 0.000 0.500
N1 0.000 0.500 0.500
```

=====

# SrHoAs2

An optimized crystal structure of SrHoAs2 (PBE-GGA, Alexandria).

Computed properties:
Calculated total energy   -60.808 eV/cell
Energy of formation   -1.1776 eV per atom
Energy above the lowest structure with this stoichiometry   0.000 eV per atom

```
data_SrHoAs2
_chemical_formula_sum 'Sr3 Ho3 As6'
_cell_length_a 4.2229
_cell_length_b 4.2229
_cell_length_c 21.6474
_cell_angle_alpha 90.00
_cell_angle_beta 90.00
_cell_angle_gamma 120.00
_symmetry_space_group_name_H-M 'R -3 m'
_symmetry_Int_Tables_number 166
_symmetry_space_group_name_Hall '-R 3 2"'
loop_
_atom_site_label
_atom_site_fract_x
_atom_site_fract_y
_atom_site_fract_z
Sr1 0.0000 0.0000 0.0000
Ho1 0.0000 0.0000 0.5000
As1 0.0000 0.0000 0.2405
```

=====

# SmTmGaRu

An optimized crystal structure of SmTmGaRu (PBE-GGA, Alexandria).

Computed properties:
Calculated total energy   -92.703 eV/cell
Energy of formation   -0.4206 eV per atom
Energy above the lowest structure with this stoichiometry   0.044 eV per atom

```
data_SmTmGaRu
_chemical_formula_sum 'Sm4 Tm4 Ga4 Ru4'
_cell_length_a 7.005
_cell_length_b 7.005
_cell_length_c 7.005
_cell_angle_alpha 90.00
_cell_angle_beta 90.00
_cell_angle_gamma 90.00
_symmetry_space_group_name_H-M 'F -4 3 m'
_symmetry_Int_Tables_number 216
_symmetry_space_group_name_Hall 'F -4 2 3'
loop_
_atom_site_label
_atom_site_fract_x
_atom_site_fract_y
_atom_site_fract_z
Sm1 0.000 0.000 0.000
Tm1 0.000 0.000 0.500
Ga1 0.250 0.250 0.750
Ru1 0.250 0.250 0.250
```

=====

# Ce2DyAu4

An optimized crystal structure of Ce2DyAu4 (PBE-GGA, Alexandria).

Computed properties:
Calculated total energy   -67.120 eV/cell
Energy of formation   -0.5686 eV per atom

```
data_Ce2DyAu4
_chemical_formula_sum 'Ce4 Dy2 Au8'
_cell_length_a 5.255
_cell_length_b 5.255
_cell_length_c 13.147
_cell_angle_alpha 90.00
_cell_angle_beta 90.00
_cell_angle_gamma 90.00
_symmetry_space_group_name_H-M 'I 4/m m m'
_symmetry_Int_Tables_number 139
_symmetry_space_group_name_Hall '-I 4 2'
loop_
_atom_site_label
_atom_site_fract_x
_atom_site_fract_y
_atom_site_fract_z
Ce1 0.000 0.000 0.220
Dy1 0.000 0.000 0.500
Au1 0.000 0.500 0.114
```

=====

# Er2MgGe3Pt4

An optimized crystal structure of Er2MgGe3Pt4 (PBE-GGA, Alexandria).

Computed properties:
Calculated total energy   -57.647 eV/cell
Energy of formation   -0.8911 eV per atom

```
data_Er2MgGe3Pt4
_chemical_formula_sum 'Er2 Mg1 Ge3 Pt4'
_cell_length_a 4.128
_cell_length_b 4.128
_cell_length_c 11.017
_cell_angle_alpha 90.00
_cell_angle_beta 90.00
_cell_angle_gamma 90.00
_symmetry_space_group_name_H-M 'P -4 m 2'
_symmetry_Int_Tables_number 115
_symmetry_space_group_name_Hall 'P -4 -2'
loop_
_atom_site_label
_atom_site_fract_x
_atom_site_fract_y
_atom_site_fract_z
Er1 0.000 0.500 0.241
Mg1 0.000 0.000 0.500
Ge1 0.000 0.500 0.866
Ge2 0.500 0.500 0.500
Pt1 0.000 0.000 0.000
Pt2 0.000 0.500 0.648
Pt3 0.500 0.500 0.000
```

=====

# AcLa2Sm

An optimized crystal structure of AcLa2Sm (PBE-GGA, Alexandria).

Computed properties:
Calculated total energy   -18.619 eV/cell
Energy of formation   0.0158 eV per atom
Energy above the lowest structure with this stoichiometry   0.000 eV per atom

```
data_AcLa2Sm
_chemical_formula_sum 'Ac1 La2 Sm1'
_cell_length_a 5.310
_cell_length_b 5.310
_cell_length_c 5.347
_cell_angle_alpha 90.00
_cell_angle_beta 90.00
_cell_angle_gamma 90.00
_symmetry_space_group_name_H-M 'P 4/m m m'
_symmetry_Int_Tables_number 123
_symmetry_space_group_name_Hall '-P 4 2'
loop_
_atom_site_label
_atom_site_fract_x
_atom_site_fract_y
_atom_site_fract_z
Ac1 0.000 0.000 0.000
La1 0.000 0.500 0.500
Sm1 0.500 0.500 0.000
```

=====

# Rb2CaCuCl5

An optimized crystal structure of Rb2CaCuCl5 (PBE-GGA, Alexandria).

Computed properties:
Calculated total energy   -132.822 eV/cell

```
data_Rb2CaCuCl5
_chemical_formula_sum 'Rb8 Ca4 Cu4 Cl20'
_cell_length_a 4.133
_cell_length_b 19.260
_cell_length_c 13.484
_cell_angle_alpha 90.00
_cell_angle_beta 90.00
_cell_angle_gamma 90.00
_symmetry_space_group_name_H-M 'C m c 21'
_symmetry_Int_Tables_number 36
_symmetry_space_group_name_Hall 'C 2c -2'
loop_
_atom_site_label
_atom_site_fract_x
_atom_site_fract_y
_atom_site_fract_z
Rb1 0.000 0.116 0.000
Rb2 0.000 0.125 0.632
Ca1 0.000 0.202 0.325
Cu1 0.000 0.450 0.751
Cl1 0.000 0.057 0.331
Cl2 0.000 0.297 0.962
Cl3 0.000 0.306 0.686
Cl4 0.000 0.342 0.318
Cl5 0.000 0.496 0.598
```